Record 1
The following is a DFT calculation (PBE-GGA) of AsI2NF after structural relaxation.

Summary:
The value obtained for the raw formation energy is 1329 meV per atom. Its energy above the most stable polymorph in this dataset is 702 meV per atom.

abc: 6.1569 6.1569 3.2473
angles: 90.00 90.00 90.00
Last column: nearest neighbours and their distance in Å.
Positions (direct):
F 0.0000 0.0000 0.0000  2 N 1.62
As 0.5000 0.5000 0.5000  2 As 3.25, 8 I 3.48
I 0.5000 0.0000 0.0000  2 F 3.08, 2 I 3.25
I 0.0000 0.5000 0.0000  2 F 3.08, 2 I 3.25
N 0.0000 0.0000 0.5000  2 F 1.62

=====

Record 2
The following is a DFT calculation (PBE-GGA) of La2BeSiIr after structural relaxation.

Summary:
The value obtained for the raw formation energy is 178 meV per atom.

abc: 5.6832 4.3760 5.6832
angles: 90.00 90.00 90.00
Last column: nearest neighbours and their distance in Å.
Positions (direct):
Ir 0.0000 0.5000 0.0000  2 Si 2.19
La 0.0000 0.0000 0.5000  2 Si 2.84
La 0.5000 0.0000 0.0000  2 Si 2.84
Si 0.0000 0.0000 0.0000  2 Ir 2.19
Be 0.5000 0.5000 0.5000  8 La 3.59

=====

Record 3
The following is a DFT calculation (PBE-GGA) of CdReCl2 after structural relaxation.

Summary:
The value obtained for the raw formation energy is 971 meV per atom. Its energy above the most stable polymorph in this dataset is 942 meV per atom.

abc: 5.1704 5.1704 5.1704
angles: 129.14 129.14 74.79
Last column: nearest neighbours and their distance in Å.
Positions (direct):
Cd 0.7500 0.2500 0.5000  8 Cl 3.02, 4 Re 3.14
Cl 0.0000 0.0000 0.0000  4 Re 3.02, 4 Cd 3.02, 4 Cl 3.14
Cl 0.5000 0.5000 0.0000  4 Cd 3.02, 4 Re 3.02, 4 Cl 3.14
Re 0.2500 0.7500 0.5000  8 Cl 3.02, 4 Cd 3.14

=====

Record 4
The following is a DFT calculation (PBE-GGA) of Na3Sb2Pb after structural relaxation.

Summary:
The value obtained for the raw formation energy is -98 meV per atom. Its energy above the most stable polymorph in this dataset is 179 meV per atom.

abc: 7.4361 7.4835 9.2933
angles: 113.74 113.58 90.00
Last column: nearest neighbours and their distance in Å.
Positions (direct):
Na 0.2315 0.4815 0.4630  4 Sb 3.18-3.24
Na 0.5000 0.2500 0.0000  4 Sb 3.21
Na 0.7685 0.5185 0.5370  4 Sb 3.18-3.24
Na 0.5000 0.7500 0.0000  4 Sb 3.21
Na 0.2315 0.9815 0.4630  4 Sb 3.18-3.24
Na 0.7685 0.0185 0.5370  4 Sb 3.18-3.24
Sb 0.4123 0.6323 0.2645  1 Pb 2.90, 6 Na 3.18-3.24
Sb 0.1477 0.8677 0.7355  1 Pb 2.90, 6 Na 3.18-3.24
Sb 0.8523 0.1323 0.2645  1 Pb 2.90, 6 Na 3.18-3.24
Sb 0.5877 0.3677 0.7355  1 Pb 2.90, 6 Na 3.18-3.24
Pb 0.0000 0.0000 0.0000  2 Sb 2.90
Pb 0.0000 0.5000 0.0000  2 Sb 2.90

=====

Record 5
The following is a DFT calculation (PBE-GGA) of Li3ThI8 after structural relaxation.

Summary:
The value obtained for the raw formation energy is -1031 meV per atom.

abc: 8.7527 8.8086 8.8968
angles: 120.57 90.00 119.79
Last column: nearest neighbours and their distance in Å.
Positions (direct):
Li 0.0000 0.5000 0.0000  6 I 2.88-3.10
Li 0.5000 0.5000 0.0000  6 I 2.88-3.10
Li 0.5000 0.0000 0.0000  6 I 2.89-3.09
I 0.7506 0.0002 0.7555  1 Th 3.08, 2 Li 3.09-3.10
I 0.2496 0.0002 0.7555  1 Th 3.08, 2 Li 3.09-3.10
I 0.7504 0.9998 0.2445  1 Th 3.08, 2 Li 3.09-3.10
I 0.7312 0.4624 0.1906  3 Li 2.88-2.89
I 0.2688 0.5376 0.8094  3 Li 2.88-2.89
I 0.2485 0.4969 0.2451  1 Th 3.08, 2 Li 3.10
I 0.7515 0.5031 0.7549  1 Th 3.08, 2 Li 3.10
I 0.2494 0.9998 0.2445  1 Th 3.08, 2 Li 3.09-3.10
Th 0.0000 0.0000 0.0000  6 I 3.08

=====

Record 6
The following is a DFT calculation (PBE-GGA) of LaNd3Hg6 after structural relaxation.

Summary:
As for the energy of formation from the pure elements: -0.448 eV/atom.

abc: 5.3016 9.5543 11.4930
angles: 107.30 90.00 90.00
Last column: nearest neighbours and their distance in Å.
Positions (direct):
La 0.7500 0.0658 0.3825  10 Hg 3.17-3.55
La 0.2500 0.9342 0.6175  10 Hg 3.17-3.55
Hg 0.7500 0.7537 0.4857  4 Nd 3.14-3.51, 2 La 3.28, 1 Hg 3.41
Hg 0.7500 0.1695 0.6878  4 Nd 3.23-3.52, 3 La 3.35-3.41, 3 Hg 3.52-3.53
Hg 0.7500 0.5395 0.9084  7 Nd 3.20-3.49
Hg 0.2500 0.4605 0.0916  7 Nd 3.20-3.49
Hg 0.2500 0.2463 0.5143  4 Nd 3.14-3.51, 2 La 3.28, 1 Hg 3.41
Hg 0.2500 0.8305 0.3122  4 Nd 3.23-3.52, 3 La 3.35-3.41, 3 Hg 3.52-3.53
Hg 0.2500 0.0614 0.9057  4 Nd 3.12-3.36, 1 La 3.17, 3 Hg 3.28-3.30
Hg 0.2500 0.1397 0.2039  8 Hg 3.28-3.66, 2 Nd 3.50-3.60, 2 La 3.55
Hg 0.7500 0.9386 0.0943  4 Nd 3.12-3.36, 1 La 3.17, 3 Hg 3.28-3.30
Hg 0.7500 0.3496 0.2912  4 Nd 3.08-3.30, 1 La 3.19, 2 Hg 3.30
Hg 0.7500 0.8603 0.7961  8 Hg 3.28-3.66, 2 Nd 3.50-3.60, 2 La 3.55
Hg 0.2500 0.6504 0.7088  4 Nd 3.08-3.30, 1 La 3.19, 2 Hg 3.30
Nd 0.7500 0.4941 0.6146  4 Hg 3.08-3.27
Nd 0.2500 0.7748 0.9955  6 Hg 3.12-3.43
Nd 0.2500 0.5059 0.3854  4 Hg 3.08-3.27
Nd 0.7500 0.6462 0.1998  8 Hg 3.14-3.36
Nd 0.2500 0.3538 0.8002  8 Hg 3.14-3.36
Nd 0.7500 0.2252 0.0045  6 Hg 3.12-3.43

=====

Record 7
The following is a DFT calculation (PBE-GGA) of Pm2Al2Te7 after structural relaxation.

Summary:
The value obtained for the raw formation energy is -697 meV per atom.

abc: 7.4642 8.0298 8.0298
angles: 109.76 101.40 101.40
Last column: nearest neighbours and their distance in Å.
Positions (direct):
Te 0.2535 0.5399 0.8892  1 Al 2.58
Te 0.0000 0.0000 0.0000  2 Al 2.72
Te 0.7465 0.4601 0.1108  1 Al 2.58
Te 0.7465 0.1108 0.4601  1 Al 2.58
Te 0.2627 0.3390 0.3390  1 Al 2.65
Te 0.2535 0.8892 0.5399  1 Al 2.58
Te 0.7373 0.6610 0.6610  1 Al 2.65
Pm 0.5000 0.2991 0.7009  6 Te 3.11-3.24
Pm 0.5000 0.7009 0.2991  6 Te 3.11-3.24
Al 0.1151 0.7506 0.7506  4 Te 2.58-2.72
Al 0.8849 0.2494 0.2494  4 Te 2.58-2.72

=====

Record 8
The following is a DFT calculation (PBE-GGA) of Sm12Hg6Os after structural relaxation.

Summary:
As for the energy of formation from the pure elements: -0.216 eV/atom.

abc: 8.3879 8.3879 8.3879
angles: 93.93 93.93 93.93
Last column: nearest neighbours and their distance in Å.
Positions (direct):
Hg 0.7355 0.3480 0.1421  8 Sm 3.13-3.40
Hg 0.3480 0.1421 0.7355  8 Sm 3.13-3.40
Hg 0.2645 0.6520 0.8579  8 Sm 3.13-3.40
Hg 0.8579 0.2645 0.6520  8 Sm 3.13-3.40
Hg 0.1421 0.7355 0.3480  8 Sm 3.13-3.40
Hg 0.6520 0.8579 0.2645  8 Sm 3.13-3.40
Sm 0.9125 0.6840 0.0311  1 Os 2.74
Sm 0.5424 0.2003 0.4281  4 Hg 3.13-3.31
Sm 0.4281 0.5424 0.2003  4 Hg 3.13-3.31
Sm 0.3160 0.9689 0.0875  1 Os 2.74
Sm 0.4576 0.7997 0.5719  4 Hg 3.13-3.31
Sm 0.0875 0.3160 0.9689  1 Os 2.74
Sm 0.7997 0.5719 0.4576  4 Hg 3.13-3.31
Sm 0.0311 0.9125 0.6840  1 Os 2.74
Sm 0.9689 0.0875 0.3160  1 Os 2.74
Sm 0.5719 0.4576 0.7997  4 Hg 3.13-3.31
Sm 0.2003 0.4281 0.5424  4 Hg 3.13-3.31
Sm 0.6840 0.0311 0.9125  1 Os 2.74
Os 0.0000 0.0000 0.0000  6 Sm 2.74

=====

Record 9
The following is a DFT calculation (PBE-GGA) of Er3ScPb5 after structural relaxation.

Summary:
As for the energy of formation from the pure elements: -0.377 eV/atom.

abc: 6.4041 9.4070 9.4070
angles: 120.00 90.00 90.00
Last column: nearest neighbours and their distance in Å.
Positions (direct):
Er 0.2500 0.0000 0.6166  9 Pb 3.18-3.35
Er 0.7500 0.6166 0.6166  9 Pb 3.18-3.35
Er 0.7500 0.0000 0.3834  9 Pb 3.18-3.35
Er 0.2500 0.3834 0.3834  9 Pb 3.18-3.35
Er 0.2500 0.6166 0.0000  9 Pb 3.18-3.35
Er 0.7500 0.3834 0.0000  9 Pb 3.18-3.35
Pb 0.5000 0.6667 0.3333  2 Pb 3.20, 6 Er 3.34
Pb 0.2500 0.0000 0.2783  2 Sc 3.07, 5 Er 3.18-3.35
Pb 0.7500 0.7217 0.0000  2 Sc 3.07, 5 Er 3.18-3.35
Pb 0.2500 0.2783 0.0000  2 Sc 3.07, 5 Er 3.18-3.35
Pb 0.2500 0.7217 0.7217  2 Sc 3.07, 5 Er 3.18-3.35
Pb 0.5000 0.3333 0.6667  2 Pb 3.20, 6 Er 3.34
Pb 0.7500 0.0000 0.7217  2 Sc 3.07, 5 Er 3.18-3.35
Pb 0.0000 0.6667 0.3333  2 Pb 3.20, 6 Er 3.34
Pb 0.7500 0.2783 0.2783  2 Sc 3.07, 5 Er 3.18-3.35
Pb 0.0000 0.3333 0.6667  2 Pb 3.20, 6 Er 3.34
Sc 0.5000 0.0000 0.0000  6 Pb 3.07, 2 Sc 3.20
Sc 0.0000 0.0000 0.0000  6 Pb 3.07, 2 Sc 3.20

=====

Record 10
The following is a DFT calculation (PBE-GGA) of YGe3Au after structural relaxation.

Summary:
As for the energy of formation from the pure elements: 0.284 eV/atom.

abc: 5.0366 5.0366 5.0366
angles: 90.00 90.00 90.00
Last column: nearest neighbours and their distance in Å.
Positions (direct):
Y 0.5000 0.5000 0.5000  12 Ge 3.56
Ge 0.0000 0.0000 0.5000  2 Au 2.52
Ge 0.5000 0.0000 0.0000  2 Au 2.52
Ge 0.0000 0.5000 0.0000  2 Au 2.52
Au 0.0000 0.0000 0.0000  6 Ge 2.52

=====

Record 11
The following is a DFT calculation (PBE-GGA) of KCaTa2 after structural relaxation.

Summary:
As for the energy of formation from the pure elements: 1.094 eV/atom. Its energy above the most stable polymorph in this dataset is 484 meV per atom.

abc: 6.9135 6.9135 6.9135
angles: 154.26 126.05 60.70
Last column: nearest neighbours and their distance in Å.
Positions (direct):
Ca 0.5217 0.5217 0.0000  2 Ca 3.08
Ta 0.9605 0.9605 0.0000  2 Ta 2.59
Ta 0.7859 0.2859 0.5000  2 Ta 2.59
K 0.2318 0.7318 0.5000  2 K 3.08

=====

Record 12
The following is a DFT calculation (PBE-GGA) of YTmTh2Bi5 after structural relaxation.

Summary:
As for the energy of formation from the pure elements: 0.002 eV/atom.

abc: 5.3744 5.3744 11.7113
angles: 90.00 90.00 90.00
Last column: nearest neighbours and their distance in Å.
Positions (direct):
Tm 0.0000 0.0000 0.5000  6 Bi 2.69-2.95
Bi 0.5000 0.0000 0.5000  2 Tm 2.69
Bi 0.0000 0.0000 0.7522  1 Y 2.90, 1 Tm 2.95
Bi 0.0000 0.0000 0.2478  1 Y 2.90, 1 Tm 2.95
Bi 0.0000 0.5000 0.5000  2 Tm 2.69
Bi 0.5000 0.5000 0.0000  2 Th 3.47, 4 Y 3.80
Th 0.5000 0.5000 0.2960  9 Bi 3.47-3.84
Th 0.5000 0.5000 0.7040  9 Bi 3.47-3.84
Y 0.0000 0.0000 0.0000  2 Bi 2.90

=====

Number 1: DFT total energy -2.2601 eV per atom, size of the total moment 0.00 μB per cell. Number 2: DFT total energy -5.3948 eV per atom, size of the total moment 0.00 μB per cell. Number 3: DFT total energy -3.2935 eV per atom, size of the total moment 3.45 μB per cell. Number 4: DFT total energy -2.7494 eV per atom, size of the total moment 0.64 μB per cell. Number 5: DFT total energy -3.1614 eV per atom, size of the total moment 1.02 μB per cell. Number 6: DFT total energy -2.5520 eV per atom, size of the total moment 0.00 μB per cell. Number 7: DFT total energy -4.2406 eV per atom, size of the total moment 0.00 μB per cell. Number 8: DFT total energy -3.8832 eV per atom, size of the total moment 0.00 μB per cell. Number 9: DFT total energy -4.6616 eV per atom, size of the total moment 0.00 μB per cell. Number 10: DFT total energy -4.4352 eV per atom, size of the total moment 0.00 μB per cell. Number 11: DFT total energy -5.6075 eV per atom, size of the total moment 0.00 μB per cell. Number 12: DFT total energy -5.0179 eV per atom, size of the total moment 0.00 μB per cell.